1.
FeRuCl2: relaxed, GGA-PBE.

Cell lengths 3.3019, 4.0000, 5.0019 Å; angles 90.00, 93.17, 90.00 degrees
Positions (direct):
1 Fe 0.0000 0.0000 0.0000
2 Ru 0.5000 0.0000 0.5000
3 Cl 0.2618 0.5000 0.2531
4 Cl 0.7382 0.5000 0.7469

Calculated values
Fermi-level density of states (states/eV/atom): 1.0935
ΔE to the lowest computed polymorph (eV/atom): 0.566
Magnetic moment (μB per formula unit): 3.951
Total energy (eV per atom): -4.844
E_form (uncorrected) (eV/atom): 0.513
Symmetry: P2/m

=====

2.
FeRu3Cl: relaxed, GGA-PBE.

Cell lengths 4.2817, 4.2817, 4.2817 Å; angles 90.00, 90.00, 90.00 degrees
Positions (direct):
1 Fe 0.0000 0.0000 0.0000
2 Ru 0.0000 0.5000 0.5000
3 Ru 0.5000 0.0000 0.5000
4 Ru 0.5000 0.5000 0.0000
5 Cl 0.5000 0.5000 0.5000

Calculated values
Fermi-level density of states (states/eV/atom): 1.8543
ΔE to the lowest computed polymorph (eV/atom): 0.000
Magnetic moment (μB per formula unit): 0.047
Total energy (eV per atom): -6.094
E_form (uncorrected) (eV/atom): 1.534
Symmetry: Pm-3m

=====

3.
FeRuCl: relaxed, GGA-PBE.

Cell lengths 4.1412, 4.1412, 4.1412 Å; angles 60.00, 60.00, 60.00 degrees
Positions (direct):
1 Fe 0.0000 0.0000 0.0000
2 Ru 0.7500 0.7500 0.7500
3 Cl 0.5000 0.5000 0.5000

Calculated values
Fermi-level density of states (states/eV/atom): 1.6981
ΔE to the lowest computed polymorph (eV/atom): 0.494
Magnetic moment (μB per formula unit): 3.328
Total energy (eV per atom): -5.685
E_form (uncorrected) (eV/atom): 0.843
Symmetry: F-43m

=====

4.
Fe4RuCl: relaxed, GGA-PBE.

Cell lengths 4.9104, 4.9104, 4.9104 Å; angles 60.00, 60.00, 60.00 degrees
Positions (direct):
1 Fe 0.1241 0.1241 0.1241
2 Fe 0.1241 0.1241 0.6276
3 Fe 0.1241 0.6276 0.1241
4 Fe 0.6276 0.1241 0.1241
5 Ru 0.7500 0.7500 0.7500
6 Cl 0.5000 0.5000 0.5000

Calculated values
Fermi-level density of states (states/eV/atom): 0.5232
Magnetic moment (μB per formula unit): 12.653
Total energy (eV per atom): -6.838
E_form (uncorrected) (eV/atom): 0.658
Symmetry: F-43m

=====

5.
FeRu3Cl: relaxed, GGA-PBE.

Cell lengths 4.5131, 4.5131, 4.5131 Å; angles 90.00, 90.00, 90.00 degrees
Positions (direct):
1 Fe 0.0000 0.0000 0.0000
2 Ru 0.0000 0.0000 0.5000
3 Ru 0.0000 0.5000 0.0000
4 Ru 0.5000 0.0000 0.0000
5 Cl 0.5000 0.5000 0.5000

Calculated values
Fermi-level density of states (states/eV/atom): 1.3812
ΔE to the lowest computed polymorph (eV/atom): 0.089
Magnetic moment (μB per formula unit): 4.428
Total energy (eV per atom): -6.005
E_form (uncorrected) (eV/atom): 1.623
Symmetry: Pm-3m

=====

6.
FeRuCl2: relaxed, GGA-PBE.

Cell lengths 5.8835, 5.8835, 5.8835 Å; angles 145.07, 145.07, 50.23 degrees
Positions (direct):
1 Fe 0.0000 0.0000 0.0000
2 Ru 0.2500 0.7500 0.5000
3 Cl 0.5000 0.5000 0.0000
4 Cl 0.7500 0.2500 0.5000

Calculated values
Fermi-level density of states (states/eV/atom): 0.9992
ΔE to the lowest computed polymorph (eV/atom): 0.671
Magnetic moment (μB per formula unit): 5.097
Total energy (eV per atom): -4.740
E_form (uncorrected) (eV/atom): 0.618
Symmetry: I-4m2

=====

7.
FeRuCl2: relaxed, GGA-PBE.

Cell lengths 3.2898, 3.3498, 7.5360 Å; angles 90.00, 98.99, 90.00 degrees
Positions (direct):
1 Fe 0.0000 0.0000 0.0000
2 Ru 0.5358 0.5000 0.1342
3 Cl 0.3014 0.5000 0.8119
4 Cl 0.6639 0.0000 0.3642

Calculated values
Fermi-level density of states (states/eV/atom): 0.6291
ΔE to the lowest computed polymorph (eV/atom): 0.086
Magnetic moment (μB per formula unit): 3.724
Total energy (eV per atom): -5.325
E_form (uncorrected) (eV/atom): 0.033
Symmetry: Pm

=====

8.
Fe2RuCl: relaxed, GGA-PBE.

Cell lengths 2.8146, 2.8146, 7.0353 Å; angles 90.00, 90.00, 90.00 degrees
Positions (direct):
1 Fe 0.0000 0.0000 0.2421
2 Fe 0.0000 0.0000 0.7579
3 Ru 0.5000 0.5000 0.0000
4 Cl 0.5000 0.5000 0.5000

Calculated values
Fermi-level density of states (states/eV/atom): 0.8717
ΔE to the lowest computed polymorph (eV/atom): 0.103
Magnetic moment (μB per formula unit): 5.412
Total energy (eV per atom): -6.654
E_form (uncorrected) (eV/atom): 0.358
Symmetry: P4/mmm

=====

9.
FeRuCl2: relaxed, GGA-PBE.

Cell lengths 5.0804, 5.0804, 5.0804 Å; angles 146.07, 113.62, 76.68 degrees
Positions (direct):
1 Fe 0.0000 0.0000 0.0000
2 Ru 0.5000 0.5000 0.0000
3 Cl 0.2583 0.7583 0.5000
4 Cl 0.7417 0.2417 0.5000

Calculated values
Fermi-level density of states (states/eV/atom): 1.1998
ΔE to the lowest computed polymorph (eV/atom): 0.581
Magnetic moment (μB per formula unit): 3.689
Total energy (eV per atom): -4.830
E_form (uncorrected) (eV/atom): 0.528
Symmetry: Immm

=====

10.
FeRuCl2: relaxed, GGA-PBE.

Cell lengths 8.7866, 8.7866, 8.7866 Å; angles 21.33, 21.33, 21.33 degrees
Positions (direct):
1 Fe 0.0000 0.0000 0.0000
2 Ru 0.7295 0.7295 0.7295
3 Cl 0.2720 0.2720 0.2720
4 Cl 0.4616 0.4616 0.4616

Calculated values
Fermi-level density of states (states/eV/atom): 0.5773
ΔE to the lowest computed polymorph (eV/atom): 0.000
Magnetic moment (μB per formula unit): 4.002
Total energy (eV per atom): -5.411
E_form (uncorrected) (eV/atom): -0.053
Symmetry: R3m

=====

11.
Fe2RuCl: relaxed, GGA-PBE.

Cell lengths 7.9768, 7.9768, 7.9768 Å; angles 20.79, 20.79, 20.79 degrees
Positions (direct):
1 Fe 0.0000 0.0000 0.0000
2 Fe 0.2549 0.2549 0.2549
3 Ru 0.7468 0.7468 0.7468
4 Cl 0.5115 0.5115 0.5115

Calculated values
Fermi-level density of states (states/eV/atom): 0.7900
ΔE to the lowest computed polymorph (eV/atom): 0.064
Magnetic moment (μB per formula unit): 5.156
Total energy (eV per atom): -6.692
E_form (uncorrected) (eV/atom): 0.319
Symmetry: R3m

=====

12.
FeRuCl2: relaxed, GGA-PBE.

Cell lengths 7.4410, 7.4410, 7.4410 Å; angles 24.52, 24.52, 24.52 degrees
Positions (direct):
1 Fe 0.0000 0.0000 0.0000
2 Ru 0.5000 0.5000 0.5000
3 Cl 0.3946 0.3946 0.3946
4 Cl 0.6054 0.6054 0.6054

Calculated values
Fermi-level density of states (states/eV/atom): 0.7571
ΔE to the lowest computed polymorph (eV/atom): 0.467
Magnetic moment (μB per formula unit): 0.000
Total energy (eV per atom): -4.944
E_form (uncorrected) (eV/atom): 0.414
Symmetry: R-3m

=====

13.
FeRuCl3: relaxed, GGA-PBE.

Cell lengths 4.7667, 4.7667, 4.7667 Å; angles 90.00, 90.00, 90.00 degrees
Positions (direct):
1 Fe 0.0000 0.0000 0.0000
2 Ru 0.5000 0.5000 0.5000
3 Cl 0.0000 0.5000 0.5000
4 Cl 0.5000 0.0000 0.5000
5 Cl 0.5000 0.5000 0.0000

Calculated values
Fermi-level density of states (states/eV/atom): 2.3488
ΔE to the lowest computed polymorph (eV/atom): 0.000
Magnetic moment (μB per formula unit): 3.626
Total energy (eV per atom): -4.162
E_form (uncorrected) (eV/atom): 0.494
Symmetry: Pm-3m

=====

14.
FeRu2SCl: relaxed, GGA-PBE.

Cell lengths 4.5381, 4.5381, 4.1552 Å; angles 90.00, 90.00, 90.00 degrees
Positions (direct):
1 Fe 0.0000 0.0000 0.0000
2 Ru 0.0000 0.5000 0.0000
3 Ru 0.5000 0.0000 0.0000
4 S 0.5000 0.5000 0.5000
5 Cl 0.0000 0.0000 0.5000

Calculated values
Fermi-level density of states (states/eV/atom): 1.4038
Magnetic moment (μB per formula unit): 0.000
Total energy (eV per atom): -5.305
E_form (uncorrected) (eV/atom): 1.293
Symmetry: P4/mmm

=====

15.
FeRuS2Cl: relaxed, GGA-PBE.

Cell lengths 4.5716, 4.5716, 4.8471 Å; angles 90.00, 90.00, 90.00 degrees
Positions (direct):
1 Fe 0.0000 0.0000 0.0000
2 Ru 0.5000 0.5000 0.5000
3 S 0.0000 0.5000 0.5000
4 S 0.5000 0.0000 0.5000
5 Cl 0.5000 0.5000 0.0000

Calculated values
Fermi-level density of states (states/eV/atom): 1.4914
ΔE to the lowest computed polymorph (eV/atom): 0.000
Magnetic moment (μB per formula unit): 3.606
Total energy (eV per atom): -4.962
E_form (uncorrected) (eV/atom): 0.606
Symmetry: P4/mmm

=====

16.
FeRuS2Cl: relaxed, GGA-PBE.

Cell lengths 4.3829, 4.3829, 4.5977 Å; angles 90.00, 90.00, 90.00 degrees
Positions (direct):
1 Fe 0.0000 0.0000 0.0000
2 Ru 0.5000 0.5000 0.5000
3 S 0.0000 0.5000 0.0000
4 S 0.5000 0.0000 0.0000
5 Cl 0.0000 0.0000 0.5000

Calculated values
Fermi-level density of states (states/eV/atom): 1.5198
ΔE to the lowest computed polymorph (eV/atom): 0.163
Magnetic moment (μB per formula unit): 3.726
Total energy (eV per atom): -4.799
E_form (uncorrected) (eV/atom): 0.769
Symmetry: P4/mmm

=====

17.
Zr2FeRuCl: relaxed, GGA-PBE.

Cell lengths 4.8944, 4.8944, 3.9735 Å; angles 90.00, 90.00, 90.00 degrees
Positions (direct):
1 Zr 0.0000 0.5000 0.0000
2 Zr 0.5000 0.0000 0.0000
3 Fe 0.0000 0.0000 0.0000
4 Ru 0.5000 0.5000 0.5000
5 Cl 0.0000 0.0000 0.5000

Calculated values
Fermi-level density of states (states/eV/atom): 1.2430
Magnetic moment (μB per formula unit): 0.000
Total energy (eV per atom): -6.769
E_form (uncorrected) (eV/atom): 0.567
Symmetry: P4/mmm

=====

18.
FeS3Cl: relaxed, GGA-PBE.

Cell lengths 4.4253, 4.4253, 4.4253 Å; angles 90.00, 90.00, 90.00 degrees
Positions (direct):
1 Fe 0.0000 0.0000 0.0000
2 S 0.0000 0.0000 0.5000
3 S 0.0000 0.5000 0.0000
4 S 0.5000 0.0000 0.0000
5 Cl 0.5000 0.5000 0.5000

Calculated values
Fermi-level density of states (states/eV/atom): 1.8759
ΔE to the lowest computed polymorph (eV/atom): 0.000
Magnetic moment (μB per formula unit): 0.000
Total energy (eV per atom): -4.004
E_form (uncorrected) (eV/atom): 0.535
Symmetry: Pm-3m

=====

19.
Fe3SCl: relaxed, GGA-PBE.

Cell lengths 4.3822, 4.3822, 4.3822 Å; angles 90.00, 90.00, 90.00 degrees
Positions (direct):
1 Fe 0.0000 0.0000 0.5000
2 Fe 0.0000 0.5000 0.0000
3 Fe 0.5000 0.0000 0.0000
4 S 0.0000 0.0000 0.0000
5 Cl 0.5000 0.5000 0.5000

Calculated values
Fermi-level density of states (states/eV/atom): 1.0436
ΔE to the lowest computed polymorph (eV/atom): 0.000
Magnetic moment (μB per formula unit): 9.000
Total energy (eV per atom): -5.873
E_form (uncorrected) (eV/atom): 0.400
Symmetry: Pm-3m

=====

20.
FeSCl3: relaxed, GGA-PBE.

Cell lengths 4.5511, 4.5511, 4.5511 Å; angles 90.00, 90.00, 90.00 degrees
Positions (direct):
1 Fe 0.0000 0.0000 0.0000
2 S 0.5000 0.5000 0.5000
3 Cl 0.0000 0.0000 0.5000
4 Cl 0.0000 0.5000 0.0000
5 Cl 0.5000 0.0000 0.0000

Calculated values
Fermi-level density of states (states/eV/atom): 1.7844
ΔE to the lowest computed polymorph (eV/atom): 0.817
Magnetic moment (μB per formula unit): 0.000
Total energy (eV per atom): -3.248
E_form (uncorrected) (eV/atom): 0.378
Symmetry: Pm-3m

=====

21.
FeS3Cl: relaxed, GGA-PBE.

Cell lengths 4.6101, 4.6101, 4.6101 Å; angles 90.00, 90.00, 90.00 degrees
Positions (direct):
1 Fe 0.0000 0.0000 0.0000
2 S 0.0000 0.5000 0.5000
3 S 0.5000 0.0000 0.5000
4 S 0.5000 0.5000 0.0000
5 Cl 0.5000 0.5000 0.5000

Calculated values
Fermi-level density of states (states/eV/atom): 0.9350
ΔE to the lowest computed polymorph (eV/atom): 0.780
Magnetic moment (μB per formula unit): 4.148
Total energy (eV per atom): -3.224
E_form (uncorrected) (eV/atom): 1.314
Symmetry: Pm-3m

=====

22.
FeS8Cl2: relaxed, GGA-PBE.

Cell lengths 5.4807, 7.2615, 8.1549 Å; angles 87.38, 80.34, 86.70 degrees
Positions (direct):
1 Fe 0.0000 0.0000 0.0000
2 S 0.0866 0.7921 0.1992
3 S 0.2151 0.3267 0.6543
4 S 0.3620 0.5146 0.7710
5 S 0.3736 0.1034 0.9960
6 S 0.6264 0.8966 0.0040
7 S 0.6380 0.4854 0.2290
8 S 0.7849 0.6733 0.3457
9 S 0.9134 0.2079 0.8008
10 Cl 0.1700 0.7783 0.7348
11 Cl 0.8300 0.2217 0.2652

Calculated values
Fermi-level density of states (states/eV/atom): 0.2581
Magnetic moment (μB per formula unit): 2.093
Total energy (eV per atom): -4.126
E_form (uncorrected) (eV/atom): -0.020
Symmetry: P-1

=====

23.
FeS2Cl4: relaxed, GGA-PBE.

Cell lengths 7.1973, 7.1973, 8.2522 Å; angles 103.41, 103.41, 26.78 degrees
Positions (direct):
1 Fe 0.0000 0.0000 0.0000
2 S 0.2887 0.2887 0.5706
3 S 0.7113 0.7113 0.4294
4 Cl 0.0479 0.0479 0.2978
5 Cl 0.3790 0.3790 0.0136
6 Cl 0.6210 0.6210 0.9864
7 Cl 0.9521 0.9521 0.7022

Calculated values
Fermi-level density of states (states/eV/atom): 0.1457
Magnetic moment (μB per formula unit): 4.902
Total energy (eV per atom): -3.740
E_form (uncorrected) (eV/atom): -0.297
Symmetry: C2/m

=====

24.
FeSCl7: relaxed, GGA-PBE.

Cell lengths 6.6338, 12.3704, 14.3572 Å; angles 90.00, 99.00, 90.00 degrees
Positions (direct):
1 Fe 0.0923 0.0148 0.2426
2 Fe 0.0923 0.4852 0.7426
3 Fe 0.9077 0.5148 0.2574
4 Fe 0.9077 0.9852 0.7574
5 S 0.4805 0.7415 0.4157
6 S 0.4805 0.7585 0.9157
7 S 0.5195 0.2415 0.0843
8 S 0.5195 0.2585 0.5843
9 Cl 0.0482 0.5421 0.1289
10 Cl 0.0482 0.9579 0.6289
11 Cl 0.1293 0.5497 0.3865
12 Cl 0.1293 0.9503 0.8865
13 Cl 0.1841 0.6559 0.7397
14 Cl 0.1841 0.8441 0.2397
15 Cl 0.3076 0.6882 0.0027
16 Cl 0.3076 0.8118 0.5027
17 Cl 0.3193 0.1388 0.6010
18 Cl 0.3193 0.3612 0.1010
19 Cl 0.3482 0.1374 0.9960
20 Cl 0.3482 0.3626 0.4960
21 Cl 0.3603 0.1215 0.2513
22 Cl 0.3603 0.3785 0.7513
23 Cl 0.6397 0.6215 0.2487
24 Cl 0.6397 0.8785 0.7487
25 Cl 0.6518 0.6374 0.5040
26 Cl 0.6518 0.8626 0.0040
27 Cl 0.6807 0.6388 0.8990
28 Cl 0.6807 0.8612 0.3990
29 Cl 0.6924 0.1882 0.4973
30 Cl 0.6924 0.3118 0.9973
31 Cl 0.8159 0.1559 0.7603
32 Cl 0.8159 0.3441 0.2603
33 Cl 0.8707 0.0497 0.1135
34 Cl 0.8707 0.4503 0.6135
35 Cl 0.9518 0.0421 0.3711
36 Cl 0.9518 0.4579 0.8711

Calculated values
Magnetic moment (μB per formula unit): 5.000
Total energy (eV per atom): -3.299
E_form (uncorrected) (eV/atom): -0.464
Symmetry: P2_1/c

=====

25.
FeSCl3: relaxed, GGA-PBE.

Cell lengths 9.8090, 9.8090, 7.3872 Å; angles 95.72, 95.72, 30.71 degrees
Positions (direct):
1 Fe 0.1818 0.1818 0.0609
2 Fe 0.8182 0.8182 0.9391
3 S 0.4535 0.4535 0.5334
4 S 0.5465 0.5465 0.4666
5 Cl 0.0881 0.0881 0.8691
6 Cl 0.1698 0.1698 0.3488
7 Cl 0.2951 0.2951 0.9597
8 Cl 0.7049 0.7049 0.0403
9 Cl 0.8302 0.8302 0.6512
10 Cl 0.9119 0.9119 0.1309

Calculated values
Fermi-level density of states (states/eV/atom): 0.9083
ΔE to the lowest computed polymorph (eV/atom): 0.000
Magnetic moment (μB per formula unit): 5.659
Total energy (eV per atom): -4.065
E_form (uncorrected) (eV/atom): -0.439
Symmetry: C2/m

=====

26.
Fe2SCl: relaxed, GGA-PBE.

Cell lengths 4.3773, 4.3773, 4.3773 Å; angles 60.00, 60.00, 60.00 degrees
Positions (direct):
1 Fe 0.2500 0.2500 0.2500
2 Fe 0.7500 0.7500 0.7500
3 S 0.0000 0.0000 0.0000
4 Cl 0.5000 0.5000 0.5000

Calculated values
Fermi-level density of states (states/eV/atom): 1.1772
ΔE to the lowest computed polymorph (eV/atom): 0.299
Magnetic moment (μB per formula unit): 7.000
Total energy (eV per atom): -5.489
E_form (uncorrected) (eV/atom): 0.236
Symmetry: Fm-3m

=====

27.
Fe2SCl: relaxed, GGA-PBE.

Cell lengths 6.8485, 6.8485, 6.8485 Å; angles 135.16, 135.16, 65.27 degrees
Positions (direct):
1 Fe 0.0939 0.6250 0.9689
2 Fe 0.3750 0.3439 0.4689
3 Fe 0.6561 0.1250 0.0311
4 Fe 0.8750 0.9061 0.5311
5 S 0.0000 0.0000 0.0000
6 S 0.7500 0.2500 0.5000
7 Cl 0.2500 0.7500 0.5000
8 Cl 0.5000 0.5000 0.0000

Calculated values
Fermi-level density of states (states/eV/atom): 1.3553
ΔE to the lowest computed polymorph (eV/atom): 0.000
Magnetic moment (μB per formula unit): 7.000
Total energy (eV per atom): -5.788
E_form (uncorrected) (eV/atom): -0.063
Symmetry: I-42d